(1)
Computed, not measured: crystalline Mn2InRe at its relaxed geometry at the PBE level of DFT.

abc: 2.905 2.905 7.206
angles: 90.00 90.00 90.00
Fractional positions:
1 Mn 0.000 0.000 0.220
2 Mn 0.000 0.000 0.780
3 In 0.500 0.500 0.500
4 Re 0.500 0.500 0.000

Summary:
Density of states at the Fermi level (states/eV per cell): 4.384
ΔE_f (meV per atom): 207.2
E_tot (eV/f.u.): -32.70
SG: P4/mmm (123)

***

(2)
Computed, not measured: crystalline Mn2InRe at its relaxed geometry at the PBE level of DFT.

abc: 2.937 3.524 5.812
angles: 90.00 90.00 90.00
Fractional positions:
1 Mn 0.000 0.000 0.214
2 Mn 0.000 0.000 0.786
3 In 0.500 0.500 0.500
4 Re 0.500 0.500 0.000

Summary:
Density of states at the Fermi level (states/eV per cell): 3.554
ΔE_f (meV per atom): 232.0
E_tot (eV/f.u.): -32.60
SG: Pmmm (47)

***

(3)
Computed, not measured: crystalline TaMnIn2Re at its relaxed geometry at the PBE level of DFT.

abc: 4.825 4.825 4.521
angles: 90.00 90.00 90.00
Fractional positions:
1 Ta 0.000 0.000 0.000
2 Mn 0.000 0.000 0.500
3 In 0.000 0.500 0.500
4 In 0.500 0.000 0.500
5 Re 0.500 0.500 0.000

Summary:
Density of states at the Fermi level (states/eV per cell): 3.540
ΔE_f (meV per atom): 1337.1
E_tot (eV/f.u.): -32.26
SG: P4/mmm (123)

***

(4)
Computed, not measured: crystalline MnInReW2 at its relaxed geometry at the PBE level of DFT.

abc: 4.811 4.811 4.754
angles: 90.00 90.00 90.00
Fractional positions:
1 Mn 0.000 0.000 0.000
2 In 0.500 0.500 0.500
3 Re 0.500 0.500 0.000
4 W 0.000 0.500 0.500
5 W 0.500 0.000 0.500

Summary:
Density of states at the Fermi level (states/eV per cell): 4.711
ΔE_f (meV per atom): 3362.1
E_tot (eV/f.u.): -33.45
SG: P4/mmm (123)